DFT (PBE) results for a relaxed structure of NpHgPbBr6.

Results
Density of states at the Fermi level   3.3 states/eV/f.u.
Energy   -3.990 eV/atom

abc: 7.6068 7.6068 17.1366
angles: 90.00 90.00 120.00
With the nearest neighbours (Å) after each atom.
Positions (direct):
Np: 0.3333 0.6667 0.2500  6 Br 2.79
Np: 0.6667 0.3333 0.7500  6 Br 2.79
Hg: 0.0000 0.0000 0.0000  6 Br 3.85
Hg: 0.0000 0.0000 0.5000  6 Br 3.85
Pb: 0.3333 0.6667 0.7500  6 Br 3.05
Pb: 0.6667 0.3333 0.2500  6 Br 3.05
Br: 0.0267 0.3765 0.1557  1 Np 2.79, 1 Pb 3.05
Br: 0.0267 0.6502 0.3443  1 Np 2.79, 1 Pb 3.05
Br: 0.3498 0.3765 0.3443  1 Np 2.79, 1 Pb 3.05
Br: 0.3498 0.9733 0.1557  1 Np 2.79, 1 Pb 3.05
Br: 0.3765 0.0267 0.6557  1 Np 2.79, 1 Pb 3.05
Br: 0.3765 0.3498 0.8443  1 Np 2.79, 1 Pb 3.05
Br: 0.6235 0.6502 0.1557  1 Np 2.79, 1 Pb 3.05
Br: 0.6235 0.9733 0.3443  1 Np 2.79, 1 Pb 3.05
Br: 0.6502 0.0267 0.8443  1 Np 2.79, 1 Pb 3.05
Br: 0.6502 0.6235 0.6557  1 Np 2.79, 1 Pb 3.05
Br: 0.9733 0.3498 0.6557  1 Np 2.79, 1 Pb 3.05
Br: 0.9733 0.6235 0.8443  1 Np 2.79, 1 Pb 3.05

=====

DFT (PBE) results for a relaxed structure of Rb2NpHg3Br6.

Results
Density of states at the Fermi level   4.6 states/eV/f.u.
Energy   -3.253 eV/atom

abc: 8.4612 8.4612 9.0897
angles: 95.23 95.23 119.91
With the nearest neighbours (Å) after each atom.
Positions (direct):
Rb: 0.1657 0.8343 0.0000  6 Br 3.48-3.51
Rb: 0.8343 0.1657 0.0000  6 Br 3.48-3.51
Np: 0.5000 0.5000 0.0000  6 Br 2.78-2.79
Hg: 0.0000 0.0000 0.5000  2 Hg 3.61, 2 Br 3.99
Hg: 0.2464 0.7536 0.5000  1 Hg 3.61, 4 Br 3.92-4.01
Hg: 0.7536 0.2464 0.5000  1 Hg 3.61, 4 Br 3.92-4.01
Br: 0.1933 0.4641 0.8240  1 Np 2.78
Br: 0.2670 0.2670 0.1805  1 Np 2.79
Br: 0.4641 0.1933 0.8240  1 Np 2.78
Br: 0.5359 0.8067 0.1760  1 Np 2.78
Br: 0.7330 0.7330 0.8195  1 Np 2.79
Br: 0.8067 0.5359 0.1760  1 Np 2.78

=====

DFT (PBE) results for a relaxed structure of RbNpHg2Br6.

Results
Density of states at the Fermi level   8.2 states/eV/f.u.
Energy   -3.443 eV/atom

abc: 7.9276 7.9276 7.9276
angles: 69.05 69.05 69.05
With the nearest neighbours (Å) after each atom.
Positions (direct):
Rb: 0.0000 0.0000 0.0000  6 Br 3.60, 2 Hg 3.87
Np: 0.5000 0.5000 0.5000  6 Br 2.70
Hg: 0.2154 0.2154 0.2154  6 Br 3.71-4.09, 1 Rb 3.87
Hg: 0.7846 0.7846 0.7846  6 Br 3.71-4.09, 1 Rb 3.87
Br: 0.1843 0.6732 0.3835  1 Np 2.70
Br: 0.3268 0.6165 0.8157  1 Np 2.70
Br: 0.3835 0.1843 0.6732  1 Np 2.70
Br: 0.6165 0.8157 0.3268  1 Np 2.70
Br: 0.6732 0.3835 0.1843  1 Np 2.70
Br: 0.8157 0.3268 0.6165  1 Np 2.70

=====

DFT (PBE) results for a relaxed structure of Rb2NpHgBr6.

Results
Density of states at the Fermi level   5.5 states/eV/f.u.
Energy   -3.868 eV/atom

abc: 9.0134 9.0134 9.0134
angles: 56.20 56.20 56.20
With the nearest neighbours (Å) after each atom.
Positions (direct):
Rb: 0.0000 0.0000 0.0000  6 Br 3.51-3.60
Rb: 0.4762 0.4762 0.4762  6 Br 3.50-3.55
Np: 0.8025 0.8025 0.8025  6 Br 2.78-2.79
Hg: 0.2965 0.2965 0.2965  6 Br 3.75-3.88, 1 Rb 4.08
Br: 0.0063 0.4660 0.7258  1 Np 2.79
Br: 0.1399 0.8734 0.6136  1 Np 2.78
Br: 0.4660 0.7258 0.0063  1 Np 2.79
Br: 0.6136 0.1399 0.8734  1 Np 2.78
Br: 0.7258 0.0063 0.4660  1 Np 2.79
Br: 0.8734 0.6136 0.1399  1 Np 2.78

=====

DFT (PBE) results for a relaxed structure of NpSnHgBr6.

Results
Density of states at the Fermi level   3.3 states/eV/f.u.
Energy   -3.978 eV/atom

abc: 7.5338 7.5338 8.7008
angles: 90.00 90.00 120.00
With the nearest neighbours (Å) after each atom.
Positions (direct):
Np: 0.0000 0.0000 0.0000  6 Br 2.79
Sn: 0.6667 0.3333 0.0000  6 Br 2.99
Hg: 0.3333 0.6667 0.5000  6 Br 3.89
Br: 0.3134 0.0203 0.1832  1 Np 2.79, 1 Sn 2.99
Br: 0.3134 0.2931 0.8168  1 Np 2.79, 1 Sn 2.99
Br: 0.7069 0.0203 0.8168  1 Np 2.79, 1 Sn 2.99
Br: 0.7069 0.6866 0.1832  1 Np 2.79, 1 Sn 2.99
Br: 0.9797 0.2931 0.1832  1 Np 2.79, 1 Sn 2.99
Br: 0.9797 0.6866 0.8168  1 Np 2.79, 1 Sn 2.99

=====

DFT (PBE) results for a relaxed structure of Np2TlHgBr8.

Results
Density of states at the Fermi level   13.3 states/eV/f.u.
Energy   -4.488 eV/atom

abc: 8.1469 8.1469 7.8074
angles: 90.00 90.00 120.00
With the nearest neighbours (Å) after each atom.
Positions (direct):
Np: 0.3333 0.6667 0.4254  7 Br 2.73-2.99
Np: 0.6667 0.3333 0.5746  7 Br 2.73-2.99
Tl: 0.0000 0.0000 0.0000  2 Hg 3.90, 6 Br 4.01
Hg: 0.0000 0.0000 0.5000  6 Br 3.32
Br: 0.0507 0.3978 0.6680  2 Np 2.94-2.99
Br: 0.3333 0.6667 0.0752  1 Np 2.73
Br: 0.3471 0.9493 0.6680  2 Np 2.94-2.99
Br: 0.3978 0.3471 0.3320  2 Np 2.94-2.99
Br: 0.6022 0.6529 0.6680  2 Np 2.94-2.99
Br: 0.6529 0.0507 0.3320  2 Np 2.94-2.99
Br: 0.6667 0.3333 0.9248  1 Np 2.73
Br: 0.9493 0.6022 0.3320  2 Np 2.94-2.99